Record 1
Entry from Alexandria: crystalline Li2AlNi2 at its relaxed geometry (PBE).

Cell lengths 6.972, 4.006, 4.933 Å; angles 90.00, 118.27, 90.00 degrees
Space group C2/m (No. 12)
Inequivalent atoms, fractional coordinates:
Li  0.201  0.000  0.104 (multiplicity 4)
Al  0.000  0.000  0.500 (multiplicity 2)
Ni  0.104  0.500  0.311 (multiplicity 4)

Results
ΔE to the lowest computed polymorph	0	meV per atom
VASP energy	-4.05	eV/atom
formation enthalpy at 0 K	-0.23	eV/atom

=====

Record 2
Entry from Alexandria: crystalline Li2AlNi8 at its relaxed geometry (PBE).

Cell lengths 7.136, 9.222, 3.828 Å; angles 90.00, 90.11, 90.00 degrees
Space group C2/m (No. 12)
Inequivalent atoms, fractional coordinates:
Li  0.000  0.117  0.000 (multiplicity 4)
Al  0.000  0.500  0.500 (multiplicity 2)
Ni  0.000  0.241  0.500 (multiplicity 4)
Ni  0.169  0.000  0.499 (multiplicity 4)
Ni  0.171  0.366  0.001 (multiplicity 8)

Results
VASP energy	-4.81	eV/atom
formation enthalpy at 0 K	0.08	eV/atom

=====

Record 3
Entry from Alexandria: crystalline LiAlNi14 at its relaxed geometry (PBE).

Cell lengths 8.151, 5.016, 8.606 Å; angles 90.00, 90.00, 90.00 degrees
Space group Amm2 (No. 38)
Inequivalent atoms, fractional coordinates:
Li  0.000  0.000  0.000 (multiplicity 2)
Al  0.000  0.000  0.500 (multiplicity 2)
Ni  0.000  0.249  0.748 (multiplicity 4)
Ni  0.248  0.000  0.331 (multiplicity 4)
Ni  0.250  0.000  0.831 (multiplicity 4)
Ni  0.251  0.250  0.082 (multiplicity 8)
Ni  0.500  0.000  0.164 (multiplicity 2)
Ni  0.500  0.000  0.664 (multiplicity 2)
Ni  0.500  0.250  0.414 (multiplicity 4)

Results
VASP energy	-5.50	eV/atom
formation enthalpy at 0 K	-0.08	eV/atom

=====

Record 4
Entry from Alexandria: crystalline Li2AlNi at its relaxed geometry (PBE).

Cell lengths 2.670, 4.540, 4.386 Å; angles 90.00, 95.32, 90.00 degrees
Space group P2/m (No. 10)
Inequivalent atoms, fractional coordinates:
Li  0.229  0.000  0.264 (multiplicity 2)
Al  0.500  0.500  0.000 (multiplicity 1)
Ni  0.000  0.500  0.500 (multiplicity 1)

Results
VASP energy	-3.52	eV/atom
formation enthalpy at 0 K	-0.18	eV/atom

=====

Question: Among the records above, which one has the lowest formation enthalpy at 0 K?
Answer: Li2AlNi2

=====

Question: VASP energy of number 2 (Li2AlNi8)?
Answer: -4.81 eV/atom

=====

Question: Number 3 is which compound?
Answer: LiAlNi14